## Na3NiPt3O8 (PBE with a Hubbard U)

Data for a relaxed Na3NiPt3O8 crystal. Values from VASP.

Results
Theoretical density = 7.04 g/cm3
Calculated total energy = -5.162 eV per atom

```
&SYSTEM
  ibrav = 0, nat = 15, ntyp = 4
/
ATOMIC_SPECIES
Na 22.99 Na.upf
Ni 58.69 Ni.upf
Pt 195.08 Pt.upf
O 16.00 O.upf
CELL_PARAMETERS angstrom
6.089 -3.027 0.000
6.089 3.027 0.000
-2.890 0.000 5.378
ATOMIC_POSITIONS crystal
Na 0.000 0.000 0.000
Na 0.000 0.500 0.500
Na 0.500 0.000 0.500
Ni 0.000 0.000 0.500
Pt 0.000 0.500 0.000
Pt 0.500 0.000 0.000
Pt 0.500 0.500 0.500
O 0.175 0.692 0.264
O 0.213 0.213 0.181
O 0.281 0.281 0.817
O 0.308 0.825 0.736
O 0.692 0.175 0.264
O 0.719 0.719 0.183
O 0.787 0.787 0.819
O 0.825 0.308 0.736
```